20
Lattice="-4.242 4.242 4.242 4.242 -4.242 4.242 4.242 4.242 -4.242" Properties=species:S:1:pos:R:3 comment="K4SrNb3O12 | the Alexandria database | PBE | relaxed" dft_energy_ev_per_atom=-6.857 rho_g_cm3=3.887 raw_formation_energy_ev_per_atom=-2.0682 pbc="T T T"
K 2.121 2.121 -2.121
K 2.121 -2.121 2.121
K -2.121 2.121 2.121
K 2.121 2.121 2.121
Sr 0.000 0.000 0.000
Nb 4.242 0.000 0.000
Nb 0.000 4.242 0.000
Nb 0.000 0.000 4.242
O 2.344 0.000 0.000
O 6.140 0.000 0.000
O 4.242 2.121 0.000
O 4.242 0.000 2.121
O 0.000 2.344 0.000
O 0.000 0.000 2.344
O 2.121 4.242 0.000
O 2.121 0.000 4.242
O 0.000 6.140 0.000
O 0.000 0.000 6.140
O 0.000 4.242 2.121
O 0.000 2.121 4.242